No. 1
Computed, not measured: a geometry-optimized Pm6InSn6 structure at the GGA-PBE level of DFT.

Lattice parameters (Å, degrees): 6.516 6.516 10.531 90.00 90.00 120.00
Fractional positions:
Pm1 0.000 0.000 0.691
Pm2 0.000 0.000 0.309
Pm3 0.667 0.333 0.000
Pm4 0.333 0.667 0.000
Pm5 0.333 0.667 0.500
Pm6 0.667 0.333 0.500
Sn1 0.000 0.500 0.750
Sn2 0.500 0.000 0.750
Sn3 0.500 0.500 0.750
Sn4 0.500 0.000 0.250
Sn5 0.000 0.500 0.250
Sn6 0.500 0.500 0.250
In1 0.000 0.000 0.000

Computed properties:
- SG: P6/mmm (191)
- Magnetic moment: 0.00 μB/f.u.
- ρ: 7277 kg/m3
- Energy of formation from the pure elements: -0.590 eV per atom

=====

No. 2
Computed, not measured: a geometry-optimized Te2PdBr8 structure at the GGA-PBE level of DFT.

Lattice parameters (Å, degrees): 7.413 8.135 8.135 80.74 107.15 107.15
Fractional positions:
Br1 0.491 0.837 0.837
Br2 0.509 0.163 0.163
Br3 0.022 0.703 0.024
Br4 0.741 0.481 0.481
Br5 0.978 0.297 0.976
Br6 0.978 0.976 0.297
Br7 0.022 0.024 0.703
Br8 0.259 0.519 0.519
Te1 0.863 0.305 0.305
Te2 0.137 0.695 0.695
Pd1 0.000 0.000 0.000

Computed properties:
- Energy relative to the elements, uncorrected: -0.23 eV/atom
- SG: C2/m (12)
- Magnetic moment: 0.00 μB/f.u.
- ρ: 3723 kg/m3